No. 1
Computed, not measured: an optimized crystal structure of Ac2PmEr at the PBE-GGA level of DFT.

a b c (Å): 3.716 3.716 13.307
angles (deg): 81.97 81.97 60.00
Sites, in units of the cell vectors:
Pm1 0.500 0.500 0.500
Ac1 0.088 0.088 0.737
Ac2 0.912 0.912 0.263
Er1 0.000 0.000 0.000

Computed properties:
- Symmetry: R-3m, No. 166
- Calculated formation energy: 24 kJ per mole of atoms
- Raw total energy: -4.1307 eV/atom
- Density of states at the Fermi level: 1.781 states/eV per atom

No. 2
Computed, not measured: an optimized crystal structure of LiGdDyLu at the PBE-GGA level of DFT.

a b c (Å): 5.439 5.439 5.439
angles (deg): 60.00 60.00 60.00
Sites, in units of the cell vectors:
Gd1 0.500 0.500 0.500
Li1 0.750 0.750 0.750
Dy1 0.000 0.000 0.000
Lu1 0.250 0.250 0.250

Computed properties:
- Symmetry: F-43m, No. 216
- Calculated formation energy: 15 kJ per mole of atoms
- Raw total energy: -6.1246 eV/atom
- Density of states at the Fermi level: 0.878 states/eV per atom